[1]
AcSi3Pt2 | PBE | optimized geometry

The structure in CIF format:
```
data_AcSi3Pt2
_chemical_formula_sum 'Ac4 Si12 Pt8'
_cell_length_a 4.2993
_cell_length_b 4.2993
_cell_length_c 25.2142
_cell_angle_alpha 90.00
_cell_angle_beta 90.00
_cell_angle_gamma 90.00
_space_group_name_H-M_alt 'I 4/m m m'
_space_group_IT_number 139
_space_group_name_Hall '-I 4 2'
loop_
_atom_site_label
_atom_site_type_symbol
_atom_site_fract_x
_atom_site_fract_y
_atom_site_fract_z
_atom_site_occupancy
Ac1 Ac 0.0000 0.0000 0.1480 1
Si1 Si 0.0000 0.0000 0.3033 1
Si2 Si 0.0000 0.5000 0.0464 1
Pt1 Pt 0.0000 0.0000 0.4069 1
Pt2 Pt 0.0000 0.5000 0.2500 1
```

Calculated values
uncorrected formation energy	-0.788	eV per atom
calculated total energy	-6.198	eV per atom
total moment	0.00	μB per formula unit

[2]
Ac2Si2Pt5 | PBE | optimized geometry

The structure in CIF format:
```
data_Ac2Si2Pt5
_chemical_formula_sum 'Ac2 Si2 Pt5'
_cell_length_a 4.4771
_cell_length_b 4.4771
_cell_length_c 8.9780
_cell_angle_alpha 90.00
_cell_angle_beta 90.00
_cell_angle_gamma 90.00
_space_group_name_H-M_alt 'P 4/m m m'
_space_group_IT_number 123
_space_group_name_Hall '-P 4 2'
loop_
_atom_site_label
_atom_site_type_symbol
_atom_site_fract_x
_atom_site_fract_y
_atom_site_fract_z
_atom_site_occupancy
Ac1 Ac 0.0000 0.0000 0.0000 1
Ac2 Ac 0.0000 0.0000 0.5000 1
Si1 Si 0.5000 0.5000 0.1486 1
Pt1 Pt 0.0000 0.5000 0.2600 1
Pt2 Pt 0.5000 0.5000 0.5000 1
```

Calculated values
uncorrected formation energy	-0.973	eV per atom
calculated total energy	-6.447	eV per atom
total moment	0.00	μB per formula unit

[3]
Ac2Si5Pt | PBE | optimized geometry

The structure in CIF format:
```
data_Ac2Si5Pt
_chemical_formula_sum 'Ac4 Si10 Pt2'
_cell_length_a 5.8592
_cell_length_b 5.8592
_cell_length_c 10.4291
_cell_angle_alpha 90.00
_cell_angle_beta 90.00
_cell_angle_gamma 90.00
_space_group_name_H-M_alt 'I 4 m m'
_space_group_IT_number 107
_space_group_name_Hall 'I 4 -2'
loop_
_atom_site_label
_atom_site_type_symbol
_atom_site_fract_x
_atom_site_fract_y
_atom_site_fract_z
_atom_site_occupancy
Ac1 Ac 0.0000 0.5000 0.0000 1
Si1 Si 0.0000 0.0000 0.0975 1
Si2 Si 0.2160 0.2160 0.2620 1
Pt1 Pt 0.0000 0.0000 0.6984 1
```

Calculated values
uncorrected formation energy	-0.534	eV per atom
calculated total energy	-5.706	eV per atom
total moment	0.00	μB per formula unit

[4]
AcSmSi2Pt2 | PBE | optimized geometry

The structure in CIF format:
```
data_AcSmSi2Pt2
_chemical_formula_sum 'Ac1 Sm1 Si2 Pt2'
_cell_length_a 4.2193
_cell_length_b 4.2193
_cell_length_c 8.7451
_cell_angle_alpha 90.00
_cell_angle_beta 90.00
_cell_angle_gamma 120.00
_space_group_name_H-M_alt 'P -3 m 1'
_space_group_IT_number 164
_space_group_name_Hall '-P 3 2"'
loop_
_atom_site_label
_atom_site_type_symbol
_atom_site_fract_x
_atom_site_fract_y
_atom_site_fract_z
_atom_site_occupancy
Ac1 Ac 0.0000 0.0000 0.0000 1
Sm1 Sm 0.0000 0.0000 0.5000 1
Si1 Si 0.3333 0.6667 0.2651 1
Pt1 Pt 0.3333 0.6667 0.7340 1
```

Calculated values
uncorrected formation energy	-1.102	eV per atom
calculated total energy	-6.395	eV per atom
total moment	0.00	μB per formula unit

[5]
Ac2SmSi3Pt12 | PBE | optimized geometry

The structure in CIF format:
```
data_Ac2SmSi3Pt12
_chemical_formula_sum 'Ac6 Sm3 Si9 Pt36'
_cell_length_a 8.3833
_cell_length_b 8.3833
_cell_length_c 18.8621
_cell_angle_alpha 90.00
_cell_angle_beta 90.00
_cell_angle_gamma 120.00
_space_group_name_H-M_alt 'R -3 m'
_space_group_IT_number 166
_space_group_name_Hall '-R 3 2"'
loop_
_atom_site_label
_atom_site_type_symbol
_atom_site_fract_x
_atom_site_fract_y
_atom_site_fract_z
_atom_site_occupancy
Ac1 Ac 0.0000 0.0000 0.1024 1
Sm1 Sm 0.0000 0.0000 0.5000 1
Si1 Si 0.0000 0.5000 0.0000 1
Pt1 Pt 0.0295 0.5147 0.8750 1
Pt2 Pt 0.0379 0.5189 0.3636 1
```

Calculated values
uncorrected formation energy	-0.554	eV per atom
calculated total energy	-6.203	eV per atom
total moment	0.00	μB per formula unit

[6]
Ac2SmSi3Pt4 | PBE | optimized geometry

The structure in CIF format:
```
data_Ac2SmSi3Pt4
_chemical_formula_sum 'Ac2 Sm1 Si3 Pt4'
_cell_length_a 4.4049
_cell_length_b 4.4049
_cell_length_c 11.0141
_cell_angle_alpha 90.00
_cell_angle_beta 90.00
_cell_angle_gamma 90.00
_space_group_name_H-M_alt 'P -4 m 2'
_space_group_IT_number 115
_space_group_name_Hall 'P -4 -2'
loop_
_atom_site_label
_atom_site_type_symbol
_atom_site_fract_x
_atom_site_fract_y
_atom_site_fract_z
_atom_site_occupancy
Ac1 Ac 0.0000 0.5000 0.2298 1
Sm1 Sm 0.0000 0.0000 0.5000 1
Si1 Si 0.0000 0.5000 0.8880 1
Si2 Si 0.5000 0.5000 0.5000 1
Pt1 Pt 0.0000 0.0000 0.0000 1
Pt2 Pt 0.0000 0.5000 0.6657 1
Pt3 Pt 0.5000 0.5000 0.0000 1
```

Calculated values
uncorrected formation energy	-1.011	eV per atom
calculated total energy	-6.347	eV per atom
total moment	0.00	μB per formula unit

> Look up the calculated total energy of the third one.

-5.706 eV per atom